CrTeIr2 GGA-PBEsol relaxed; total DFT energy (no corrections) = -8.047 eV per atom; N(E_F) = 4.02 states/eV/f.u.; space-group type = P4/mmm, No. 123; E_form (uncorrected) = 0.306 eV/atom
1.0
2.864 0.000 0.000
0.000 2.864 0.000
0.000 0.000 7.598
Cr Te Ir
1 1 2
Cartesian
0.000 0.000 0.000 Cr
0.000 0.000 3.799 Te
1.432 1.432 1.577 Ir
1.432 1.432 6.022 Ir